[1]
PBE Dy2ErAu2, relaxed; D(E_F) = 13.13 states/eV/cell; VASP energy = -4.77 eV/atom; energy of formation from the pure elements = -0.71 eV/atom; spin magnetization = 0.000 μB/atom
1.0
8.160 0.000 0.000
0.000 8.160 0.000
0.000 0.000 3.777
Dy Er Au
4 2 4
Direct
0.163 0.337 0.000 Dy
0.337 0.837 0.000 Dy
0.663 0.163 0.000 Dy
0.837 0.663 0.000 Dy
0.000 0.000 0.500 Er
0.500 0.500 0.500 Er
0.133 0.633 0.500 Au
0.367 0.133 0.500 Au
0.633 0.867 0.500 Au
0.867 0.367 0.500 Au


[2]
PBE Dy2Er3Au2, relaxed; D(E_F) = 19.39 states/eV/cell; VASP energy = -4.72 eV/atom; energy of formation from the pure elements = -0.51 eV/atom; spin magnetization = 0.001 μB/atom
1.0
12.631 0.000 0.000
0.000 3.678 0.000
-3.990 0.000 8.196
Dy Er Au
4 6 4
Direct
0.151 0.000 0.313 Dy
0.349 0.500 0.687 Dy
0.651 0.500 0.313 Dy
0.849 0.000 0.687 Dy
0.000 0.500 0.500 Er
0.113 0.500 0.944 Er
0.387 0.000 0.056 Er
0.500 0.000 0.500 Er
0.613 0.000 0.944 Er
0.887 0.500 0.056 Er
0.171 0.000 0.731 Au
0.329 0.500 0.269 Au
0.671 0.500 0.731 Au
0.829 0.000 0.269 Au


[3]
PBE DyEr2Au, relaxed; D(E_F) = 13.89 states/eV/cell; VASP energy = -4.55 eV/atom; energy of formation from the pure elements = -0.30 eV/atom; ΔE to the lowest computed polymorph = 159 meV per atom; spin magnetization = 0.137 μB/atom
1.0
3.707 0.000 0.000
-1.853 3.210 0.000
0.000 0.000 29.190
Dy Er Au
3 6 3
Direct
0.000 0.000 0.000 Dy
0.333 0.667 0.667 Dy
0.667 0.333 0.333 Dy
0.000 0.000 0.237 Er
0.000 0.000 0.432 Er
0.333 0.667 0.098 Er
0.333 0.667 0.903 Er
0.667 0.333 0.570 Er
0.667 0.333 0.765 Er
0.000 0.000 0.835 Au
0.333 0.667 0.501 Au
0.667 0.333 0.168 Au


[4]
PBE DyErAu, relaxed; D(E_F) = 6.27 states/eV/cell; VASP energy = -4.69 eV/atom; energy of formation from the pure elements = -0.54 eV/atom; ΔE to the lowest computed polymorph = 105 meV per atom; spin magnetization = 0.290 μB/atom
1.0
3.578 0.000 0.000
0.000 3.578 0.000
0.000 0.000 12.242
Dy Er Au
2 2 2
Direct
0.000 0.000 0.000 Dy
0.500 0.500 0.500 Dy
0.000 0.000 0.290 Er
0.500 0.500 0.790 Er
0.000 0.000 0.649 Au
0.500 0.500 0.149 Au


[5]
PBE DyEr2Au3, relaxed; D(E_F) = 1.86 states/eV/cell; VASP energy = -4.81 eV/atom; energy of formation from the pure elements = -0.88 eV/atom; spin magnetization = 0.000 μB/atom
1.0
3.559 0.000 0.000
0.000 3.559 0.000
0.000 0.000 10.844
Dy Er Au
1 2 3
Direct
0.000 0.000 0.000 Dy
0.000 0.000 0.334 Er
0.000 0.000 0.666 Er
0.500 0.500 0.170 Au
0.500 0.500 0.500 Au
0.500 0.500 0.830 Au


[6]
PBE DyEr3Au2, relaxed; D(E_F) = 15.67 states/eV/cell; VASP energy = -4.61 eV/atom; energy of formation from the pure elements = -0.47 eV/atom; ΔE to the lowest computed polymorph = 184 meV per atom; spin magnetization = 0.000 μB/atom
1.0
-3.497 6.901 3.615
3.497 -6.901 3.615
3.497 6.901 -3.615
Dy Er Au
2 6 4
Direct
0.000 0.000 0.000 Dy
0.500 0.500 0.000 Dy
0.017 0.250 0.767 Er
0.250 0.750 0.500 Er
0.483 0.250 0.233 Er
0.517 0.750 0.767 Er
0.750 0.250 0.500 Er
0.983 0.750 0.233 Er
0.142 0.705 0.847 Au
0.358 0.205 0.563 Au
0.642 0.795 0.437 Au
0.858 0.295 0.153 Au


[7]
PBE Dy2ErAu6, relaxed; D(E_F) = 4.67 states/eV/cell; VASP energy = -4.52 eV/atom; energy of formation from the pure elements = -0.80 eV/atom; spin magnetization = 0.000 μB/atom
1.0
2.623 -8.056 0.000
2.623 8.056 0.000
-2.577 0.000 4.546
Dy Er Au
2 1 6
Direct
0.165 0.835 0.000 Dy
0.835 0.165 0.000 Dy
0.500 0.500 0.500 Er
0.157 0.157 0.827 Au
0.172 0.502 0.667 Au
0.498 0.828 0.333 Au
0.502 0.172 0.667 Au
0.828 0.498 0.333 Au
0.843 0.843 0.173 Au


[8]
PBE Dy3Er4Au4, relaxed; D(E_F) = 8.61 states/eV/cell; VASP energy = -4.68 eV/atom; energy of formation from the pure elements = -0.57 eV/atom; spin magnetization = 0.000 μB/atom
1.0
-2.403 3.827 7.779
2.403 -3.827 7.779
2.403 3.827 -7.779
Dy Er Au
3 4 4
Direct
0.000 0.000 0.000 Dy
0.397 0.897 0.500 Dy
0.603 0.103 0.500 Dy
0.041 0.327 0.714 Er
0.387 0.673 0.714 Er
0.613 0.327 0.286 Er
0.959 0.673 0.286 Er
0.205 0.205 0.000 Au
0.311 0.500 0.811 Au
0.689 0.500 0.189 Au
0.795 0.795 0.000 Au


[9]
PBE DyEr2Au2, relaxed; D(E_F) = 13.37 states/eV/cell; VASP energy = -4.77 eV/atom; energy of formation from the pure elements = -0.71 eV/atom; spin magnetization = 0.000 μB/atom
1.0
8.120 0.000 0.000
0.000 8.120 0.000
0.000 0.000 3.774
Dy Er Au
2 4 4
Direct
0.000 0.000 0.000 Dy
0.500 0.500 0.000 Dy
0.162 0.338 0.500 Er
0.338 0.838 0.500 Er
0.662 0.162 0.500 Er
0.838 0.662 0.500 Er
0.134 0.634 0.000 Au
0.366 0.134 0.000 Au
0.634 0.866 0.000 Au
0.866 0.366 0.000 Au


[10]
PBE DyErAu2, relaxed; D(E_F) = 1.94 states/eV/cell; VASP energy = -4.80 eV/atom; energy of formation from the pure elements = -0.87 eV/atom; ΔE to the lowest computed polymorph = 20 meV per atom; spin magnetization = 0.000 μB/atom
1.0
5.086 0.000 0.000
0.000 5.086 0.000
0.000 0.000 3.559
Dy Er Au
1 1 2
Direct
0.000 0.000 0.000 Dy
0.500 0.500 0.000 Er
0.000 0.500 0.500 Au
0.500 0.000 0.500 Au


[11]
PBE DyErAu, relaxed; D(E_F) = 5.55 states/eV/cell; VASP energy = -4.62 eV/atom; energy of formation from the pure elements = -0.47 eV/atom; ΔE to the lowest computed polymorph = 175 meV per atom; spin magnetization = 0.000 μB/atom
1.0
2.489 1.437 7.462
-2.489 1.437 7.462
0.000 -2.874 7.462
Dy Er Au
2 2 2
Direct
0.000 0.000 0.000 Dy
0.163 0.163 0.163 Dy
0.420 0.420 0.420 Er
0.583 0.583 0.583 Er
0.717 0.717 0.717 Au
0.867 0.867 0.867 Au


[12]
PBE Dy2ErAu4, relaxed; D(E_F) = 9.81 states/eV/cell; VASP energy = -4.11 eV/atom; energy of formation from the pure elements = -0.27 eV/atom; ΔE to the lowest computed polymorph = 451 meV per atom; spin magnetization = 0.000 μB/atom
1.0
5.270 0.000 0.000
0.000 5.270 0.000
0.000 0.000 14.708
Dy Er Au
4 2 8
Direct
0.000 0.000 0.117 Dy
0.000 0.000 0.883 Dy
0.500 0.500 0.383 Dy
0.500 0.500 0.617 Dy
0.000 0.000 0.500 Er
0.500 0.500 0.000 Er
0.000 0.000 0.310 Au
0.000 0.000 0.690 Au
0.000 0.500 0.000 Au
0.000 0.500 0.500 Au
0.500 0.000 0.000 Au
0.500 0.000 0.500 Au
0.500 0.500 0.190 Au
0.500 0.500 0.810 Au


[13]
PBE DyErGaAu, relaxed; D(E_F) = 6.75 states/eV/cell; VASP energy = -4.60 eV/atom; energy of formation from the pure elements = -0.73 eV/atom; ΔE to the lowest computed polymorph = 0 meV per atom; spin magnetization = 0.000 μB/atom
1.0
4.509 0.000 0.000
0.000 3.768 0.000
0.000 0.000 11.120
Dy Er Ga Au
2 2 2 2
Direct
0.000 0.000 0.000 Dy
0.000 0.500 0.500 Dy
0.500 0.000 0.288 Er
0.500 0.500 0.788 Er
0.500 0.000 0.564 Ga
0.500 0.500 0.064 Ga
0.000 0.000 0.726 Au
0.000 0.500 0.226 Au


[14]
PBE DyErGaAu, relaxed; D(E_F) = 10.03 states/eV/cell; VASP energy = -4.57 eV/atom; energy of formation from the pure elements = -0.70 eV/atom; ΔE to the lowest computed polymorph = 26 meV per atom; spin magnetization = 0.000 μB/atom
1.0
7.180 0.000 0.000
0.000 7.180 0.000
0.000 0.000 7.180
Dy Er Ga Au
4 4 4 4
Direct
0.000 0.000 0.000 Dy
0.000 0.500 0.500 Dy
0.500 0.000 0.500 Dy
0.500 0.500 0.000 Dy
0.000 0.000 0.500 Er
0.000 0.500 0.000 Er
0.500 0.000 0.000 Er
0.500 0.500 0.500 Er
0.250 0.250 0.250 Ga
0.250 0.750 0.750 Ga
0.750 0.250 0.750 Ga
0.750 0.750 0.250 Ga
0.250 0.250 0.750 Au
0.250 0.750 0.250 Au
0.750 0.250 0.250 Au
0.750 0.750 0.750 Au


[15]
PBE DyErGeAu, relaxed; D(E_F) = 4.41 states/eV/cell; VASP energy = -5.13 eV/atom; energy of formation from the pure elements = -0.86 eV/atom; ΔE to the lowest computed polymorph = 0 meV per atom; spin magnetization = 0.000 μB/atom
1.0
4.298 0.000 0.000
0.000 4.034 0.000
0.000 0.000 10.880
Dy Er Ge Au
2 2 2 2
Direct
0.000 0.000 0.000 Dy
0.000 0.500 0.500 Dy
0.500 0.000 0.279 Er
0.500 0.500 0.779 Er
0.000 0.000 0.727 Ge
0.000 0.500 0.227 Ge
0.500 0.000 0.555 Au
0.500 0.500 0.055 Au


[16]
PBE DyErGeAu, relaxed; D(E_F) = 15.99 states/eV/cell; VASP energy = -5.01 eV/atom; energy of formation from the pure elements = -0.75 eV/atom; ΔE to the lowest computed polymorph = 116 meV per atom; spin magnetization = 0.087 μB/atom
1.0
7.150 0.000 0.000
0.000 7.150 0.000
0.000 0.000 7.150
Dy Er Ge Au
4 4 4 4
Direct
0.000 0.000 0.000 Dy
0.000 0.500 0.500 Dy
0.500 0.000 0.500 Dy
0.500 0.500 0.000 Dy
0.000 0.000 0.500 Er
0.000 0.500 0.000 Er
0.500 0.000 0.000 Er
0.500 0.500 0.500 Er
0.250 0.250 0.250 Ge
0.250 0.750 0.750 Ge
0.750 0.250 0.750 Ge
0.750 0.750 0.250 Ge
0.250 0.250 0.750 Au
0.250 0.750 0.250 Au
0.750 0.250 0.250 Au
0.750 0.750 0.750 Au


[17]
PBE DyErHgAu, relaxed; D(E_F) = 13.70 states/eV/cell; VASP energy = -3.85 eV/atom; energy of formation from the pure elements = -0.67 eV/atom; ΔE to the lowest computed polymorph = 12 meV per atom; spin magnetization = 0.000 μB/atom
1.0
7.290 0.000 0.000
0.000 7.290 0.000
0.000 0.000 7.290
Dy Er Hg Au
4 4 4 4
Direct
0.000 0.000 0.000 Dy
0.000 0.500 0.500 Dy
0.500 0.000 0.500 Dy
0.500 0.500 0.000 Dy
0.000 0.000 0.500 Er
0.000 0.500 0.000 Er
0.500 0.000 0.000 Er
0.500 0.500 0.500 Er
0.250 0.250 0.250 Hg
0.250 0.750 0.750 Hg
0.750 0.250 0.750 Hg
0.750 0.750 0.250 Hg
0.250 0.250 0.750 Au
0.250 0.750 0.250 Au
0.750 0.250 0.250 Au
0.750 0.750 0.750 Au


[18]
PBE DyErHgAu, relaxed; D(E_F) = 2.74 states/eV/cell; VASP energy = -3.86 eV/atom; energy of formation from the pure elements = -0.68 eV/atom; ΔE to the lowest computed polymorph = 0 meV per atom; spin magnetization = 0.000 μB/atom
1.0
3.657 0.000 0.000
0.000 3.657 0.000
0.000 0.000 7.243
Dy Er Hg Au
1 1 1 1
Direct
0.000 0.000 0.000 Dy
0.000 0.000 0.478 Er
0.500 0.500 0.736 Hg
0.500 0.500 0.245 Au


[19]
PBE LiDyErAu, relaxed; D(E_F) = 9.22 states/eV/cell; VASP energy = -4.00 eV/atom; energy of formation from the pure elements = -0.41 eV/atom; spin magnetization = 0.000 μB/atom
1.0
7.178 0.000 0.000
0.000 7.178 0.000
0.000 0.000 7.178
Li Dy Er Au
4 4 4 4
Direct
0.000 0.000 0.000 Li
0.000 0.500 0.500 Li
0.500 0.000 0.500 Li
0.500 0.500 0.000 Li
0.250 0.250 0.750 Dy
0.250 0.750 0.250 Dy
0.750 0.250 0.250 Dy
0.750 0.750 0.750 Dy
0.250 0.250 0.250 Er
0.250 0.750 0.750 Er
0.750 0.250 0.750 Er
0.750 0.750 0.250 Er
0.000 0.000 0.500 Au
0.000 0.500 0.000 Au
0.500 0.000 0.000 Au
0.500 0.500 0.500 Au


[20]
PBE DyErMg2Au4, relaxed; D(E_F) = 5.42 states/eV/cell; VASP energy = -3.97 eV/atom; energy of formation from the pure elements = -0.79 eV/atom; spin magnetization = 0.000 μB/atom
1.0
2.450 1.415 7.956
-2.450 1.415 7.956
0.000 -2.829 7.956
Dy Er Mg Au
1 1 2 4
Direct
0.000 0.000 0.000 Dy
0.500 0.500 0.500 Er
0.250 0.250 0.250 Mg
0.750 0.750 0.750 Mg
0.126 0.126 0.126 Au
0.375 0.375 0.375 Au
0.625 0.625 0.625 Au
0.874 0.874 0.874 Au